{"formula": "CaV3O6", "functional": "PBE+U", "state": "optimized geometry", "crystal_system": "orthorhombic", "total_energy_ev_per_cell": -149.99, "mass_density_kg_m3": 4458, "magnetic_moment_mub_per_cell": 10.00, "lattice_angstrom": [[-3.967, 3.515, 1.067], [-3.180, -2.016, -5.184], [-2.110, -3.808, 4.700]], "species": ["O", "O", "O", "O", "O", "O", "O", "O", "O", "O", "O", "O", "V", "V", "V", "V", "V", "V", "Ca", "Ca"], "fractional_positions": [[0.662, 0.313, 0.364], [0.280, 0.022, 0.978], [0.162, 0.364, 0.313], [0.743, 0.897, 0.466], [0.780, 0.978, 0.022], [0.243, 0.103, 0.534], [0.587, 0.224, 0.776], [0.162, 0.687, 0.636], [0.087, 0.776, 0.224], [0.743, 0.534, 0.103], [0.243, 0.466, 0.897], [0.662, 0.636, 0.687], [0.968, 0.694, 0.918], [0.468, 0.918, 0.694], [0.397, 0.394, 0.606], [0.897, 0.606, 0.394], [0.968, 0.082, 0.306], [0.468, 0.306, 0.082], [0.978, 0.176, 0.824], [0.478, 0.824, 0.176]]}